PBE Pm12Pr6Sm, optimized geometry; mass density = 6.44 g/cm³; DFT total energy = -4.384 eV/atom; crystal system = trigonal; space-group type = R-3m (166); DFT formation energy = 374 meV/atom; E above lowest polymorph = 4.63 eV per formula unit
1.0
8.1901 4.7286 3.0342
-8.1901 4.7286 3.0342
0.0000 -9.4571 3.0342
Pm Pr Sm
12 6 1
Cartesian
-3.2105 -3.8963 3.0342 Pm
-4.9796 -0.8322 3.0342 Pm
0.0000 -2.4220 3.0323 Pm
-2.0975 1.2110 3.0323 Pm
3.2105 -3.8963 3.0342 Pm
-1.7690 4.7286 3.0342 Pm
-2.0975 -1.2110 6.0702 Pm
2.0975 1.2110 3.0323 Pm
4.9796 -0.8322 3.0342 Pm
1.7690 4.7286 3.0342 Pm
2.0975 -1.2110 6.0702 Pm
0.0000 2.4220 6.0702 Pm
0.0000 -5.8490 3.1649 Pr
-5.0654 2.9245 3.1649 Pr
-5.0654 -2.9245 5.9376 Pr
5.0654 2.9245 3.1649 Pr
5.0654 -2.9245 5.9376 Pr
0.0000 5.8490 5.9376 Pr
0.0000 0.0000 4.5512 Sm